DFT (PBE) results for an optimized crystal structure of SrMn2I6.

Values from the calculation:
Space-group type = C2/m, No. 12
Raw formation energy = -0.776 eV/atom
Polymorph energy (0 for the lowest one) = 0.051 eV/atom
Total magnetization = 10.00 Bohr magnetons per cell
Crystal system = monoclinic

Structure (POSCAR):
```
SrMn2I6
1.0
7.406 -2.586 0.000
7.406 2.586 0.000
-3.207 0.000 10.065
Sr Mn I
1 2 6
Direct
0.000 0.000 0.000 Sr
0.211 0.211 0.643 Mn
0.789 0.789 0.357 Mn
0.051 0.051 0.725 I
0.337 0.337 0.477 I
0.348 0.348 0.889 I
0.652 0.652 0.111 I
0.663 0.663 0.523 I
0.949 0.949 0.275 I
```